Entry from the Alexandria database: a relaxed Rb3Mn3TcO8 crystal (GGA+U).

Geometry as POSCAR:
```
Rb3Mn3TcO8
1.0
6.458 -0.001 0.000
-3.229 5.598 -0.018
0.001 -3.710 6.453
Rb Mn Tc O
3 3 1 8
direct
0.000 0.000 0.000
0.000 0.500 0.000
0.500 0.500 0.000
0.500 0.000 0.500
0.500 0.500 0.500
0.000 0.500 0.500
0.000 0.000 0.500
0.287 0.574 0.360
0.713 0.426 0.640
0.797 0.593 0.334
0.203 0.407 0.666
0.797 0.037 0.334
0.203 0.963 0.666
0.240 0.037 0.334
0.760 0.963 0.666
```

Space-group type: No. 166
Crystal system: trigonal
N(E_F), states/eV per cell: 2.5
VASP energy, eV/atom: -6.519